Below is an optimized crystal structure of V3Zn2O8, with properties calculated at the GGA+U level.

Properties
Total energy (eV/cell): -87.83
Space-group type: C2/m, No. 12
Mass density (g cm⁻³): 4.69
Offset from the most stable computed form (meV/atom): 17.9

Unit cell a=4.997 b=5.817 c=5.817 alpha=61.79 beta=100.11 gamma=100.11
Positions (direct):
1 Zn 0.409 0.292 0.292
2 Zn 0.591 0.708 0.708
3 O 0.856 0.100 0.100
4 O 0.144 0.900 0.900
5 O 0.356 0.346 0.893
6 O 0.887 0.603 0.603
7 O 0.113 0.397 0.397
8 O 0.644 0.654 0.107
9 O 0.644 0.107 0.654
10 O 0.356 0.893 0.346
11 V 0.500 0.000 0.000
12 V 0.000 0.739 0.261
13 V 0.000 0.261 0.739